# 1
Density functional theory data (GGA-PBE) for a geometry-optimized TaSiN3 structure.

Properties
D(E_F) = 0.767 states/eV/f.u.
Spin magnetization = 0.00 μB/f.u.
SG = Pm-3m, No. 221
Uncorrected formation energy = 9 meV/atom

Lattice parameters (Å, degrees): 3.546 3.546 3.546 90.00 90.00 90.00
Fractional positions:
Si 0.000 0.000 0.000
N 0.000 0.500 0.000
N 0.000 0.000 0.500
N 0.500 0.000 0.000
Ta 0.500 0.500 0.500



# 2
Density functional theory data (GGA-PBE) for a geometry-optimized TaSiN2 structure.

Properties
D(E_F) = 0.840 states/eV/f.u.
Spin magnetization = 0.00 μB/f.u.
SG = R-3m, No. 166
Uncorrected formation energy = -547 meV/atom

Lattice parameters (Å, degrees): 6.332 6.332 6.332 27.54 27.54 27.54
Fractional positions:
Si 0.000 0.000 0.000
N 0.900 0.900 0.900
N 0.100 0.100 0.100
Ta 0.500 0.500 0.500



# 3
Density functional theory data (GGA-PBE) for a geometry-optimized TaSiN3 structure.

Properties
D(E_F) = 3.097 states/eV/f.u.
Spin magnetization = 0.93 μB/f.u.
SG = Pm-3m, No. 221
Uncorrected formation energy = 673 meV/atom

Lattice parameters (Å, degrees): 4.051 4.051 4.051 90.00 90.00 90.00
Site moments in Bohr magnetons follow the coordinates.
Fractional positions:
Si 0.500 0.500 0.500  0.00
N 0.000 0.500 0.000  0.30
N 0.000 0.000 0.500  0.28
N 0.500 0.000 0.000  0.16
Ta 0.000 0.000 0.000  -0.05



# 4
Density functional theory data (GGA-PBE) for a geometry-optimized Ta3SiN structure.

Properties
D(E_F) = 6.021 states/eV/f.u.
Spin magnetization = 0.00 μB/f.u.
SG = Pm-3m, No. 221
Uncorrected formation energy = -326 meV/atom

Lattice parameters (Å, degrees): 4.209 4.209 4.209 90.00 90.00 90.00
Fractional positions:
Si 0.500 0.500 0.500
N 0.000 0.000 0.000
Ta 0.000 0.500 0.000
Ta 0.000 0.000 0.500
Ta 0.500 0.000 0.000



# 5
Density functional theory data (GGA-PBE) for a geometry-optimized Ta5Si3N structure.

Properties
D(E_F) = 2.699 states/eV/f.u.
Spin magnetization = 0.00 μB/f.u.
SG = P6_3/mcm, No. 193
Uncorrected formation energy = -693 meV/atom

Lattice parameters (Å, degrees): 7.478 7.478 5.416 90.00 90.00 120.00
Fractional positions:
Ta 0.235 0.000 0.750
Ta 0.765 0.000 0.250
Ta 0.000 0.235 0.750
Ta 0.000 0.765 0.250
Ta 0.765 0.765 0.750
Ta 0.235 0.235 0.250
Ta 0.333 0.667 0.500
Ta 0.667 0.333 0.500
Ta 0.667 0.333 0.000
Ta 0.333 0.667 0.000
Si 0.595 0.000 0.750
Si 0.405 0.000 0.250
Si 0.000 0.595 0.750
Si 0.000 0.405 0.250
Si 0.405 0.405 0.750
Si 0.595 0.595 0.250
N 0.000 0.000 0.500
N 0.000 0.000 0.000



# 6
Density functional theory data (GGA-PBE) for a geometry-optimized TaSi3N structure.

Properties
D(E_F) = 1.932 states/eV/f.u.
Spin magnetization = 3.07 μB/f.u.
SG = Pm-3m, No. 221
Uncorrected formation energy = 1610 meV/atom

Lattice parameters (Å, degrees): 4.912 4.912 4.912 90.00 90.00 90.00
Site moments in Bohr magnetons follow the coordinates.
Fractional positions:
Si 0.000 0.500 0.000  0.03
Si 0.000 0.000 0.500  0.01
Si 0.500 0.000 0.000  0.03
N 0.500 0.500 0.500  1.78
Ta 0.000 0.000 0.000  0.19



# 7
Density functional theory data (GGA-PBE) for a geometry-optimized TaSiN2 structure.

Properties
D(E_F) = 1.855 states/eV/f.u.
Spin magnetization = 0.00 μB/f.u.
SG = R-3m, No. 166
Uncorrected formation energy = -326 meV/atom

Lattice parameters (Å, degrees): 6.239 6.239 6.239 27.08 27.08 27.08
Fractional positions:
Si 0.500 0.500 0.500
N 0.887 0.887 0.887
N 0.113 0.113 0.113
Ta 0.000 0.000 0.000



# 8
Density functional theory data (GGA-PBE) for a geometry-optimized TaSiN structure.

Properties
D(E_F) = 0.475 states/eV/f.u.
Spin magnetization = 0.00 μB/f.u.
SG = P4/nmm, No. 129
Uncorrected formation energy = -460 meV/atom

Lattice parameters (Å, degrees): 3.200 3.200 7.090 90.00 90.00 90.00
Fractional positions:
Si 0.000 0.000 0.000
Si 0.500 0.500 0.000
N 0.000 0.500 0.385
N 0.500 0.000 0.615
Ta 0.000 0.500 0.688
Ta 0.500 0.000 0.312